1.
DFT (GGA-PBE) results for a relaxed structure of Ac2MgZn3Pt4.

Computed properties:
DFT formation energy: -819.8 meV per atom
D(E_F): 5.2 states/eV per cell

Structure (CIF):
```
data_Ac2MgZn3Pt4
_chemical_formula_sum 'Ac2 Mg1 Zn3 Pt4'
_cell_length_a 4.330
_cell_length_b 4.330
_cell_length_c 11.119
_cell_angle_alpha 90.00
_cell_angle_beta 90.00
_cell_angle_gamma 90.00
_symmetry_space_group_name_H-M 'P -4 m 2'
_symmetry_Int_Tables_number 115
loop_
_symmetry_equiv_pos_as_xyz
'x,y,z'
'y,-x,-z'
'-x,-y,z'
'-y,x,-z'
'-x,y,z'
'-y,-x,-z'
'x,-y,z'
'y,x,-z'
loop_
_atom_site_label
_atom_site_fract_x
_atom_site_fract_y
_atom_site_fract_z
Ac1 0.000 0.500 0.238
Mg1 0.000 0.000 0.500
Zn1 0.000 0.500 0.875
Zn2 0.500 0.500 0.500
Pt1 0.000 0.000 0.000
Pt2 0.000 0.500 0.643
Pt3 0.500 0.500 0.000
```


2.
DFT (GGA-PBE) results for a relaxed structure of HRuI4.

Computed properties:
D(E_F): 17.2 states/eV per cell

Structure (CIF):
```
data_HRuI4
_chemical_formula_sum 'H4 Ru4 I16'
_cell_length_a 7.436
_cell_length_b 17.562
_cell_length_c 7.029
_cell_angle_alpha 90.00
_cell_angle_beta 116.46
_cell_angle_gamma 90.00
_symmetry_space_group_name_H-M 'C 1 2/c 1'
_symmetry_Int_Tables_number 15
loop_
_symmetry_equiv_pos_as_xyz
'x,y,z'
'-x,-y,-z'
'-x,y,-z+1/2'
'x,-y,z+1/2'
'x+1/2,y+1/2,z'
'-x+1/2,-y+1/2,-z'
'-x+1/2,y+1/2,-z+1/2'
'x+1/2,-y+1/2,z+1/2'
loop_
_atom_site_label
_atom_site_fract_x
_atom_site_fract_y
_atom_site_fract_z
H1 0.000 0.149 0.250
Ru1 0.000 0.444 0.750
I1 0.217 0.450 0.174
I2 0.238 0.328 0.732
```


3.
DFT (GGA-PBE) results for a relaxed structure of DyMgSc5.

Computed properties:
DFT formation energy: 164.5 meV per atom
D(E_F): 49.1 states/eV per cell
Energy relative to the lowest polymorph listed for this composition: 0.0000 eV/atom

Structure (CIF):
```
data_DyMgSc5
_chemical_formula_sum 'Dy4 Mg4 Sc20'
_cell_length_a 15.556
_cell_length_b 6.001
_cell_length_c 9.740
_cell_angle_alpha 90.00
_cell_angle_beta 127.29
_cell_angle_gamma 90.00
_symmetry_space_group_name_H-M 'C 1 2/c 1'
_symmetry_Int_Tables_number 15
loop_
_symmetry_equiv_pos_as_xyz
'x,y,z'
'-x,-y,-z'
'-x,y,-z+1/2'
'x,-y,z+1/2'
'x+1/2,y+1/2,z'
'-x+1/2,-y+1/2,-z'
'-x+1/2,y+1/2,-z+1/2'
'x+1/2,-y+1/2,z+1/2'
loop_
_atom_site_label
_atom_site_fract_x
_atom_site_fract_y
_atom_site_fract_z
Dy1 0.250 0.250 0.000
Mg1 0.000 0.003 0.250
Sc1 0.000 0.470 0.750
Sc2 0.089 0.259 0.104
Sc3 0.171 0.252 0.581
```


4.
DFT (GGA-PBE) results for a relaxed structure of TiC2NF.

Computed properties:
D(E_F): 1.9 states/eV per cell

Structure (CIF):
```
data_TiC2NF
_chemical_formula_sum 'Ti1 C2 N1 F1'
_cell_length_a 4.148
_cell_length_b 4.148
_cell_length_c 3.880
_cell_angle_alpha 90.00
_cell_angle_beta 90.00
_cell_angle_gamma 90.00
_symmetry_space_group_name_H-M 'P 4/m m m'
_symmetry_Int_Tables_number 123
_symmetry_space_group_name_Hall '-P 4 2'
loop_
_atom_site_label
_atom_site_fract_x
_atom_site_fract_y
_atom_site_fract_z
Ti1 0.000 0.000 0.000
C1 0.000 0.500 0.000
N1 0.500 0.500 0.500
F1 0.000 0.000 0.500
```


5.
DFT (GGA-PBE) results for a relaxed structure of YGeRh2.

Computed properties:
DFT formation energy: -443.8 meV per atom
D(E_F): 12.2 states/eV per cell

Structure (CIF):
```
data_YGeRh2
_chemical_formula_sum 'Y4 Ge4 Rh8'
_cell_length_a 7.160
_cell_length_b 7.160
_cell_length_c 5.996
_cell_angle_alpha 90.00
_cell_angle_beta 90.00
_cell_angle_gamma 90.00
_symmetry_space_group_name_H-M 'I -4 2 d'
_symmetry_Int_Tables_number 122
_symmetry_space_group_name_Hall 'I -4 2bw'
loop_
_atom_site_label
_atom_site_fract_x
_atom_site_fract_y
_atom_site_fract_z
Y1 0.000 0.000 0.000
Ge1 0.000 0.000 0.500
Rh1 0.191 0.250 0.625
```


6.
DFT (GGA-PBE) results for a relaxed structure of CoMoSe2.

Computed properties:
D(E_F): 9.2 states/eV per cell
Energy relative to the lowest polymorph listed for this composition: 0.2339 eV/atom

Structure (CIF):
```
data_CoMoSe2
_chemical_formula_sum 'Co3 Mo3 Se6'
_cell_length_a 3.1180
_cell_length_b 3.1180
_cell_length_c 28.1985
_cell_angle_alpha 90.00
_cell_angle_beta 90.00
_cell_angle_gamma 120.00
_symmetry_space_group_name_H-M 'R 3 m'
_symmetry_Int_Tables_number 160
_symmetry_space_group_name_Hall 'R 3 -2"'
loop_
_atom_site_label
_atom_site_fract_x
_atom_site_fract_y
_atom_site_fract_z
Co1 0.0000 0.0000 0.0000
Mo1 0.0000 0.0000 0.2549
Se1 0.0000 0.0000 0.5266
Se2 0.0000 0.0000 0.7152
```


DFT total energy for the records above, in order: -4.599 -3.127 -5.243 -5.664 -6.890 -6.247 eV/atom